# 1
VASP calculation (PBE-GGA) on an optimized crystal structure of RbOsPt2.

The value obtained for the calculated formation energy is 0.814 eV/atom. As for the total energy: -84.1 eV per cell.

The structure in CIF format:
```
data_RbOsPt2
_chemical_formula_sum 'Rb4 Os4 Pt8'
_symmetry_space_group_name_H-M 'I -4 2 d'
_symmetry_Int_Tables_number 122
_symmetry_space_group_name_Hall 'I -4 2bw'
_cell_length_a 7.888
_cell_length_b 7.888
_cell_length_c 7.958
_cell_angle_alpha 90.00
_cell_angle_beta 90.00
_cell_angle_gamma 90.00
loop_
_atom_site_label
_atom_site_fract_x
_atom_site_fract_y
_atom_site_fract_z
Rb1 0.000 0.000 0.000
Os1 0.000 0.000 0.500
Pt1 0.117 0.750 0.625
```

=====

# 2
VASP calculation (PBE-GGA) on an optimized crystal structure of Ac6Si2IBr3.

As for the total energy: -108.7 eV per cell.

The structure in CIF format:
```
data_Ac6Si2IBr3
_chemical_formula_sum 'Ac12 Si4 I2 Br6'
_symmetry_space_group_name_H-M 'C 1 2/m 1'
_symmetry_Int_Tables_number 12
_cell_length_a 19.890
_cell_length_b 4.615
_cell_length_c 9.218
_cell_angle_alpha 90.00
_cell_angle_beta 101.00
_cell_angle_gamma 90.00
loop_
_symmetry_equiv_pos_as_xyz
'x,y,z'
'-x,-y,-z'
'-x,y,-z'
'x,-y,z'
'x+1/2,y+1/2,z'
'-x+1/2,-y+1/2,-z'
'-x+1/2,y+1/2,-z'
'x+1/2,-y+1/2,z'
loop_
_atom_site_label
_atom_site_fract_x
_atom_site_fract_y
_atom_site_fract_z
Ac1 0.012 0.000 0.265
Ac2 0.171 0.500 0.118
Ac3 0.174 0.500 0.567
Si1 0.167 0.000 0.336
I1 0.000 0.500 0.000
Br1 0.000 0.500 0.500
Br2 0.164 0.000 0.837
```

=====

# 3
VASP calculation (PBE-GGA) on an optimized crystal structure of PuMnRe2.

The value obtained for the calculated formation energy is 0.522 eV/atom. As for the total energy: -138.9 eV per cell.

The structure in CIF format:
```
data_PuMnRe2
_chemical_formula_sum 'Pu3 Mn3 Re6'
_symmetry_space_group_name_H-M 'R -3 m'
_symmetry_Int_Tables_number 166
_symmetry_space_group_name_Hall '-R 3 2"'
_cell_length_a 2.7803
_cell_length_b 2.7803
_cell_length_c 29.2695
_cell_angle_alpha 90.00
_cell_angle_beta 90.00
_cell_angle_gamma 120.00
loop_
_atom_site_label
_atom_site_fract_x
_atom_site_fract_y
_atom_site_fract_z
Pu1 0.0000 0.0000 0.0000
Mn1 0.0000 0.0000 0.5000
Re1 0.0000 0.0000 0.0971
```

=====

# 4
VASP calculation (PBE-GGA) on an optimized crystal structure of Ca2Bi2O.

As for the total energy: -37.3 eV per cell.

The structure in CIF format:
```
data_Ca2Bi2O
_chemical_formula_sum 'Ca4 Bi4 O2'
_symmetry_space_group_name_H-M 'I 4/m m m'
_symmetry_Int_Tables_number 139
_symmetry_space_group_name_Hall '-I 4 2'
_cell_length_a 4.249
_cell_length_b 4.249
_cell_length_c 16.805
_cell_angle_alpha 90.00
_cell_angle_beta 90.00
_cell_angle_gamma 90.00
loop_
_atom_site_label
_atom_site_fract_x
_atom_site_fract_y
_atom_site_fract_z
Ca1 0.000 0.000 0.095
Bi1 0.000 0.500 0.250
O1 0.000 0.000 0.500
```